Computed, not measured: a geometry-optimized K2Re structure at the PBE level of DFT.

Unit cell a=10.3515 b=10.3515 c=7.7424 alpha=69.23 beta=69.23 gamma=16.09
With the nearest neighbours (Å) after each atom.
Atoms (fractional coordinates):
K  0.8429  0.8429  0.1492  2 K 2.90
K  0.1030  0.1030  0.4029  2 K 2.90
K  0.1571  0.1571  0.8508  2 K 2.90
K  0.8970  0.8970  0.5971  2 K 2.90
Re  0.4999  0.4999  0.8553  1 Re 2.24
Re  0.5001  0.5001  0.1447  1 Re 2.24

**N(E_F)**: 0.897 states/eV per atom
**Symmetry**: C2/m, No. 12
**Total moment**: 1.00 μB/cell
**Energy relative to the lowest polymorph listed for this composition**: 256 meV/atom
**Formation enthalpy at 0 K**: 1.079 eV per atom
**Density**: 4.091 g/cm³